[1]
## ErTm2VO6 (PBE with a Hubbard U)

Data for an optimized crystal structure of ErTm2VO6.

abc: 5.5743 5.5760 5.8709
angles: 61.65 61.68 60.00
Fractional coordinates of all 10 atoms:
O 0.6920 0.1242 0.7636
O 0.5981 0.2075 0.2502
O 0.1244 0.4201 0.7638
O 0.9439 0.5983 0.2506
O 0.2071 0.9440 0.2506
O 0.4202 0.6921 0.7633
Tm 0.0228 0.0224 0.9322
Tm 0.5287 0.5286 0.4141
Er 0.8078 0.8077 0.5768
V 0.3167 0.3167 0.0501

The volume comes out at 132 Å³ per cell. The space-group type is R3. The crystal system is trigonal. The total magnetization comes out at 2.0 Bohr magnetons per cell. As for the total energy: -0.608 Ry per atom.

[2]
## ErTmV2O8 (PBE with a Hubbard U)

Data for an optimized crystal structure of ErTmV2O8.

abc: 5.9515 5.9515 5.9515
angles: 106.32 106.32 115.97
Fractional coordinates of all 12 atoms:
O 0.9268 0.2399 0.3131
O 0.9268 0.6136 0.6869
O 0.3864 0.0732 0.3131
O 0.8638 0.6779 0.1859
O 0.3221 0.5080 0.1859
O 0.7601 0.0732 0.6869
O 0.4920 0.6779 0.8141
O 0.3221 0.1362 0.8141
V 0.5000 0.5000 0.0000
V 0.7500 0.2500 0.5000
Tm 0.0000 0.0000 0.0000
Er 0.2500 0.7500 0.5000

The volume comes out at 161 Å³ per cell. The space-group type is I-4m2. The crystal system is tetragonal. The total magnetization comes out at 0.0 Bohr magnetons per cell. As for the total energy: -0.592 Ry per atom.

[3]
## Er2TmWO8 (PBE with a Hubbard U)

Data for an optimized crystal structure of Er2TmWO8.

abc: 5.0160 5.0163 6.7277
angles: 90.00 90.00 90.86
Fractional coordinates of all 12 atoms:
O 0.6940 0.6945 0.5000
O 0.2776 0.2772 0.0000
O 0.7224 0.7228 0.0000
O 0.1836 0.8161 0.7839
O 0.1836 0.8160 0.2161
O 0.3060 0.3055 0.5000
O 0.8164 0.1840 0.7839
O 0.8164 0.1839 0.2161
Tm 0.0000 0.0000 0.5000
Er 0.5000 0.5000 0.7494
Er 0.5000 0.5000 0.2506
W 0.0000 0.0000 0.0000

The volume comes out at 169 Å³ per cell. The space-group type is Cmmm. The crystal system is orthorhombic. The total magnetization comes out at 0.8 Bohr magnetons per cell. As for the total energy: -0.582 Ry per atom.

[4]
## ErTm2WO8 (PBE with a Hubbard U)

Data for an optimized crystal structure of ErTm2WO8.

abc: 4.9967 4.9945 6.7316
angles: 90.00 90.00 90.79
Fractional coordinates of all 12 atoms:
O 0.8153 0.1855 0.7849
O 0.6913 0.6923 0.5000
O 0.2793 0.2785 0.0000
O 0.8153 0.1855 0.2151
O 0.1847 0.8145 0.7849
O 0.1847 0.8145 0.2151
O 0.7207 0.7215 0.0000
O 0.3087 0.3077 0.5000
W 0.0000 0.0000 0.0000
Er 0.0000 0.0000 0.5000
Tm 0.5000 0.5000 0.2496
Tm 0.5000 0.5000 0.7504

The volume comes out at 168 Å³ per cell. The space-group type is Cmmm. The crystal system is orthorhombic. The total magnetization comes out at 0.6 Bohr magnetons per cell. As for the total energy: -0.583 Ry per atom.